## i
A geometry-optimized CrTcSe2 structure. Source: the Alexandria database, functional GGA-PBE.

Lattice parameters (Å, degrees): 4.1297 4.1297 5.6194 78.18 78.18 47.36
Site moments in Bohr magnetons follow the coordinates.
Fractional positions:
1 Se 0.4883 0.4883 0.5159  -0.06
2 Cr 0.2500 0.2500 0.2500  3.53
3 Se 0.0117 0.0117 0.9841  -0.06
4 Tc 0.7500 0.7500 0.7500  -0.07

Calculated values
Spin magnetization ... 0.92 μB/atom
SG ... No. 12


## ii
A geometry-optimized CrTcSe2 structure. Source: the Alexandria database, functional GGA-PBE.

Lattice parameters (Å, degrees): 3.2524 5.5807 5.2293 44.56 90.00 90.00
Site moments in Bohr magnetons follow the coordinates.
Fractional positions:
1 Cr 0.0000 0.0000 0.5000  3.16
2 Tc 0.5000 0.5000 0.5000  -0.86
3 Se 0.5000 0.5000 0.0000  -0.09
4 Se 0.0000 0.0000 0.0000  -0.07

Calculated values
Spin magnetization ... 0.58 μB/atom
SG ... No. 10


i (12 meV per atom below the next structure)


## i
A geometry-optimized CrTcSe2 structure. Source: the Alexandria database, functional GGA-PBE.

Lattice parameters (Å, degrees): 3.2564 3.2565 7.1583 90.00 90.00 90.00
Site moments in Bohr magnetons follow the coordinates.
Fractional positions:
1 Se 0.0000 0.0000 0.8876  -0.10
2 Cr 0.5000 0.5000 0.7498  3.00
3 Se 0.5000 0.5000 0.3477  0.04
4 Tc 0.0000 0.0000 0.5149  0.01

Calculated values
Spin magnetization ... 0.80 μB/atom
SG ... No. 99


## ii
A geometry-optimized CrTcSe2 structure. Source: the Alexandria database, functional GGA-PBE.

Lattice parameters (Å, degrees): 8.3072 8.3072 8.3072 21.20 21.20 21.20
Site moments in Bohr magnetons follow the coordinates.
Fractional positions:
1 Cr 0.5000 0.5000 0.5000  0.30
2 Tc 0.0000 0.0000 0.0000  0.45
3 Se 0.9013 0.9013 0.9013  -0.02
4 Se 0.0987 0.0987 0.0987  -0.02

Calculated values
Spin magnetization ... 0.19 μB/atom
SG ... No. 166


## iii
A geometry-optimized CrTcSe2 structure. Source: the Alexandria database, functional GGA-PBE.

Lattice parameters (Å, degrees): 4.6371 4.6371 4.8103 78.63 78.63 40.74
Site moments in Bohr magnetons follow the coordinates.
Fractional positions:
1 Tc 0.4816 0.4816 0.5326  -0.16
2 Cr 0.2680 0.2680 0.1585  2.92
3 Se 0.7560 0.7560 0.6925  -0.04
4 Se 0.9944 0.9944 0.1165  -0.07

Calculated values
Spin magnetization ... 0.70 μB/atom
SG ... No. 8


## iv
A geometry-optimized CrTcSe2 structure. Source: the Alexandria database, functional GGA-PBE.

Lattice parameters (Å, degrees): 3.2487 5.9883 3.8386 90.00 90.00 90.00
Site moments in Bohr magnetons follow the coordinates.
Fractional positions:
1 Se 0.0000 0.0000 0.0000  0.04
2 Se 0.5000 0.5000 0.0000  -0.13
3 Tc 0.5000 0.0000 0.5000  -0.96
4 Cr 0.0000 0.5000 0.5000  3.42

Calculated values
Spin magnetization ... 0.65 μB/atom
SG ... No. 47


i (165 meV per atom below the next structure)


## i
A geometry-optimized CrTcSe2 structure. Source: the Alexandria database, functional GGA-PBE.

Lattice parameters (Å, degrees): 3.1136 3.1136 6.2339 90.00 90.00 90.00
Site moments in Bohr magnetons follow the coordinates.
Fractional positions:
1 Cr 0.5000 0.5000 0.7500  2.19
2 Se 0.0000 0.0000 0.5029  -0.06
3 Se 0.0000 0.0000 0.9971  -0.06
4 Tc 0.5000 0.5000 0.2500  -0.10

Calculated values
Spin magnetization ... 0.53 μB/atom
SG ... No. 123


## ii
A geometry-optimized CrTcSe2 structure. Source: the Alexandria database, functional GGA-PBE.

Lattice parameters (Å, degrees): 3.9820 3.5610 5.0575 88.00 90.00 90.00
Site moments in Bohr magnetons follow the coordinates.
Fractional positions:
1 Se 0.0000 0.4327 0.5121  -0.04
2 Cr 0.5000 0.7500 0.7500  3.44
3 Tc 0.5000 0.2500 0.2500  -0.33
4 Se 0.0000 0.0673 0.9879  -0.04

Calculated values
Spin magnetization ... 0.82 μB/atom
SG ... No. 10


## iii
A geometry-optimized CrTcSe2 structure. Source: the Alexandria database, functional GGA-PBE.

Lattice parameters (Å, degrees): 5.6671 5.6671 5.6671 148.20 134.80 56.31
Site moments in Bohr magnetons follow the coordinates.
Fractional positions:
1 Se 0.7310 0.2310 0.5000  -0.07
2 Se 0.0147 0.0147 0.0000  -0.09
3 Cr 0.2229 0.7229 0.5000  2.80
4 Tc 0.5313 0.5313 0.0000  -0.35

Calculated values
Spin magnetization ... 0.60 μB/atom
SG ... No. 44


## iv
A geometry-optimized CrTcSe2 structure. Source: the Alexandria database, functional GGA-PBE.

Lattice parameters (Å, degrees): 5.5952 5.5952 6.9262 66.18 66.18 90.00
Site moments in Bohr magnetons follow the coordinates.
Fractional positions:
1 Se 0.6315 0.1250 0.2500  -0.07
2 Se 0.8750 0.8816 0.7500  -0.07
3 Cr 0.2500 0.7500 0.5000  3.22
4 Cr 0.5000 0.5000 0.0000  3.23
5 Tc 0.0000 0.0000 0.0000  -0.37
6 Se 0.3750 0.3684 0.7500  -0.07
7 Se 0.1184 0.6250 0.2500  -0.07
8 Tc 0.7500 0.2500 0.5000  -0.36

Calculated values
Spin magnetization ... 0.74 μB/atom
SG ... No. 122


iv (62 meV per atom below the next structure)